Computed, not measured: a relaxed structure of KSbTeSe3 at the PBE level of DFT.

- Formation energy from raw total energies: -2.46 eV/f.u.
- Total magnetic moment: 0.0 μB per cell
- Total DFT energy (no corrections): -3.546 eV/atom

Lattice parameters (Å, degrees): 8.721 4.045 11.385 90.00 110.19 90.00
Positions (direct):
K1 0.019 0.250 0.263
K2 0.981 0.750 0.737
Sb1 0.391 0.750 0.609
Sb2 0.609 0.250 0.391
Te1 0.409 0.750 0.055
Te2 0.591 0.250 0.945
Se1 0.167 0.250 0.586
Se2 0.184 0.250 0.007
Se3 0.344 0.750 0.371
Se4 0.656 0.250 0.629
Se5 0.816 0.750 0.993
Se6 0.833 0.750 0.414